YZrTl2 | Alexandria via LeMat-Bulk | PBE | relaxed; total DFT energy (no corrections) = -0.188 hartree per atom; M_tot = 0.00 μB/f.u.; ΔE_f = -0.17 eV per atom
1.0
-2.3915 2.3915 4.3507
2.3915 -2.3915 4.3507
2.3915 2.3915 -4.3507
Y Zr Tl
1 1 2
Cartesian
0.0000 0.0000 0.0000
0.0000 0.0000 4.3507
2.3915 0.0000 2.1753
0.0000 2.3915 2.1753